{
  "formula": "RhW5",
  "functional": "PBE",
  "state": "relaxed",
  "lattice": [[4.689, 0.000, 0.000], [0.000, 1.338, 7.668], [0.000, -1.338, 7.668]],
  "species": ["Rh", "W", "W", "W", "W", "W"],
  "frac_coords": [[0.000, 0.000, 0.000], [0.000, 0.342, 0.342], [0.000, 0.668, 0.668], [0.500, 0.107, 0.107], [0.500, 0.445, 0.445], [0.500, 0.775, 0.775]],
  "vol_a3_per_cell": 96.2,
  "ef_mev_per_atom": 263,
  "sg": "Amm2, No. 38",
  "relative_energy_mev_per_atom": 143
}